1.
# HoTh2Se5

HoTh2Se5 after structural relaxation (PBE-GGA, Alexandria).

Output
ΔE to the lowest computed polymorph, meV/atom: 65
SG: No. 63

a b c (Å): 5.7786 7.2628 13.9713
angles (deg): 90.00 90.00 113.44
Closest atoms and distances in Å follow each position.
Element x y z (fractional)
Ho 0.7907 0.5814 0.7500  6 Se 2.79-2.93
Ho 0.2093 0.4186 0.2500  6 Se 2.79-2.93
Th 0.8448 0.6896 0.4430  6 Se 2.87-3.03
Th 0.8448 0.6896 0.0570  6 Se 2.87-3.03
Th 0.1552 0.3104 0.5570  6 Se 2.87-3.03
Th 0.1552 0.3104 0.9430  6 Se 2.87-3.03
Se 0.9508 0.9016 0.8781  1 Ho 2.79, 2 Th 2.87
Se 0.9508 0.9016 0.6219  1 Ho 2.79, 2 Th 2.87
Se 0.3329 0.6657 0.4222  3 Th 2.91-3.03, 1 Ho 2.92
Se 0.3329 0.6657 0.0778  3 Th 2.91-3.03, 1 Ho 2.92
Se 0.7460 0.4921 0.2500  2 Ho 2.93, 2 Th 3.00
Se 0.2540 0.5079 0.7500  2 Ho 2.93, 2 Th 3.00
Se 0.6671 0.3343 0.5778  3 Th 2.91-3.03, 1 Ho 2.92
Se 0.6671 0.3343 0.9222  3 Th 2.91-3.03, 1 Ho 2.92
Se 0.0492 0.0984 0.1219  1 Ho 2.79, 2 Th 2.87
Se 0.0492 0.0984 0.3781  1 Ho 2.79, 2 Th 2.87

2.
# HoTh3Se6

HoTh3Se6 after structural relaxation (PBE-GGA, Alexandria).

Output
SG: No. 36

a b c (Å): 7.1173 9.0117 9.0117
angles (deg): 101.02 90.00 90.00
Closest atoms and distances in Å follow each position.
Element x y z (fractional)
Ho 0.9957 0.1591 0.8409  5 Se 2.74-2.89
Ho 0.4957 0.8409 0.1591  5 Se 2.74-2.89
Th 0.4872 0.9253 0.7265  7 Se 2.99-3.06
Th 0.9872 0.7265 0.9253  7 Se 2.99-3.06
Th 0.3764 0.3974 0.6026  7 Se 2.91-3.00
Th 0.8764 0.6026 0.3974  7 Se 2.91-3.00
Th 0.9872 0.0747 0.2735  7 Se 2.99-3.06
Th 0.4872 0.2735 0.0747  7 Se 2.99-3.06
Se 0.1822 0.6933 0.6264  4 Th 2.97-3.03
Se 0.6822 0.6264 0.6933  4 Th 2.97-3.03
Se 0.1968 0.4301 0.9065  1 Ho 2.79, 3 Th 2.99-3.06
Se 0.6968 0.9065 0.4301  1 Ho 2.79, 3 Th 2.99-3.06
Se 0.2381 0.0019 0.9981  2 Ho 2.78-2.89, 4 Th 2.99-3.03
Se 0.6428 0.2386 0.7614  1 Ho 2.74, 3 Th 2.91-2.99
Se 0.1428 0.7614 0.2386  1 Ho 2.74, 3 Th 2.91-2.99
Se 0.7381 0.9981 0.0019  2 Ho 2.78-2.89, 4 Th 2.99-3.03
Se 0.1968 0.0935 0.5699  1 Ho 2.79, 3 Th 2.99-3.06
Se 0.6968 0.5699 0.0935  1 Ho 2.79, 3 Th 2.99-3.06
Se 0.1822 0.3736 0.3067  4 Th 2.97-3.03
Se 0.6822 0.3067 0.3736  4 Th 2.97-3.03

3.
# HoTh3Se4

HoTh3Se4 after structural relaxation (PBE-GGA, Alexandria).

Output
SG: No. 13

a b c (Å): 7.1069 7.2259 8.5244
angles (deg): 90.00 90.00 110.53
Closest atoms and distances in Å follow each position.
Element x y z (fractional)
Se 0.9929 0.2426 0.6323  1 Ho 2.88, 5 Th 2.94-3.02
Se 0.5009 0.2396 0.8801  2 Ho 2.88, 4 Th 2.95-3.03
Se 0.4929 0.2426 0.3677  1 Ho 2.88, 5 Th 2.94-3.02
Se 0.0009 0.2396 0.1199  2 Ho 2.88, 4 Th 2.95-3.03
Se 0.9991 0.7604 0.8801  2 Ho 2.88, 4 Th 2.95-3.03
Se 0.5071 0.7574 0.6323  1 Ho 2.88, 5 Th 2.94-3.02
Se 0.4991 0.7604 0.1199  2 Ho 2.88, 4 Th 2.95-3.03
Se 0.0071 0.7574 0.3677  1 Ho 2.88, 5 Th 2.94-3.02
Ho 0.7500 0.0000 0.8771  6 Se 2.88
Ho 0.2500 0.0000 0.1229  6 Se 2.88
Th 0.7500 0.0000 0.3757  6 Se 2.94-2.96
Th 0.2500 0.0000 0.6243  6 Se 2.94-2.96
Th 0.7500 0.5000 0.6225  6 Se 2.95-3.03
Th 0.7500 0.5000 0.1257  6 Se 2.94-3.01
Th 0.2500 0.5000 0.3775  6 Se 2.95-3.03
Th 0.2500 0.5000 0.8743  6 Se 2.94-3.01

4.
# Ho2ThSe

Ho2ThSe after structural relaxation (PBE-GGA, Alexandria).

Output
ΔE to the lowest computed polymorph, meV/atom: 0
SG: No. 166

a b c (Å): 3.7137 3.7137 9.7164
angles (deg): 78.98 78.98 60.00
Closest atoms and distances in Å follow each position.
Element x y z (fractional)
Se 0.0000 0.0000 0.0000  6 Ho 2.88
Ho 0.7341 0.7341 0.7976  3 Se 2.88
Ho 0.2659 0.2659 0.2024  3 Se 2.88
Th 0.5000 0.5000 0.5000  6 Ho 3.54, 6 Th 3.71

5.
# Ho2Th2Se7

Ho2Th2Se7 after structural relaxation (PBE-GGA, Alexandria).

Output
SG: No. 44

a b c (Å): 4.1891 8.8758 8.8758
angles (deg): 61.80 76.35 76.35
Closest atoms and distances in Å follow each position.
Element x y z (fractional)
Ho 0.0000 0.7910 0.2090  8 Se 2.81-3.14
Ho 0.5000 0.3295 0.6705  7 Se 2.89-2.98
Th 0.7370 0.8476 0.6784  7 Se 2.89-3.14
Th 0.2630 0.3216 0.1524  7 Se 2.89-3.14
Se 0.8171 0.0679 0.2978  1 Ho 2.81, 3 Th 2.89-2.98
Se 0.8622 0.4241 0.8515  2 Ho 2.93, 3 Th 3.14-3.28
Se 0.5000 0.0126 0.9874  3 Ho 2.89-2.91
Se 0.6099 0.4945 0.2856  3 Ho 2.98-3.14, 2 Th 3.07, 1 Se 3.22
Se 0.3901 0.7144 0.5055  3 Ho 2.98-3.14, 2 Th 3.07, 1 Se 3.22
Se 0.1829 0.7022 0.9321  1 Ho 2.81, 3 Th 2.89-2.98
Se 0.1378 0.1485 0.5759  2 Ho 2.93, 3 Th 3.14-3.28

6.
# Ho4ThSe5

Ho4ThSe5 after structural relaxation (PBE-GGA, Alexandria).

Output
SG: No. 71

a b c (Å): 4.0539 5.7988 10.8882
angles (deg): 105.44 100.73 90.00
Closest atoms and distances in Å follow each position.
Element x y z (fractional)
Ho 0.4030 0.4030 0.8060  6 Se 2.85-2.91
Ho 0.7982 0.7982 0.5964  6 Se 2.82-2.90
Ho 0.2018 0.2018 0.4036  6 Se 2.82-2.90
Ho 0.5970 0.5970 0.1940  6 Se 2.85-2.91
Th 0.0000 0.0000 0.0000  6 Se 2.90-2.98
Se 0.6063 0.1063 0.2126  4 Ho 2.82-2.91, 2 Th 2.98
Se 0.8015 0.3015 0.6031  6 Ho 2.89-2.91
Se 0.1985 0.6985 0.3969  6 Ho 2.89-2.91
Se 0.0000 0.5000 0.0000  4 Ho 2.85, 2 Th 2.90
Se 0.3937 0.8937 0.7874  4 Ho 2.82-2.91, 2 Th 2.98

7.
# Ho3ThSe4

Ho3ThSe4 after structural relaxation (PBE-GGA, Alexandria).

Output
ΔE to the lowest computed polymorph, meV/atom: 0
SG: No. 194

a b c (Å): 4.0198 4.0198 27.8114
angles (deg): 90.00 90.00 120.00
Closest atoms and distances in Å follow each position.
Element x y z (fractional)
Se 0.6667 0.3333 0.9396  6 Ho 2.87
Se 0.3333 0.6667 0.0604  6 Ho 2.87
Se 0.3333 0.6667 0.4396  6 Ho 2.87
Se 0.6667 0.3333 0.5604  6 Ho 2.87
Se 0.0000 0.0000 0.8190  3 Ho 2.85, 3 Th 3.01
Se 0.0000 0.0000 0.1810  3 Ho 2.85, 3 Th 3.01
Se 0.0000 0.0000 0.3190  3 Ho 2.85, 3 Th 3.01
Se 0.0000 0.0000 0.6810  3 Ho 2.85, 3 Th 3.01
Ho 0.0000 0.0000 0.0000  6 Se 2.87
Ho 0.0000 0.0000 0.5000  6 Se 2.87
Ho 0.3333 0.6667 0.8786  6 Se 2.85-2.87
Ho 0.6667 0.3333 0.1214  6 Se 2.85-2.87
Ho 0.6667 0.3333 0.3786  6 Se 2.85-2.87
Ho 0.3333 0.6667 0.6214  6 Se 2.85-2.87
Th 0.6667 0.3333 0.7500  6 Se 3.01
Th 0.3333 0.6667 0.2500  6 Se 3.01

8.
# Ho2ThSe6

Ho2ThSe6 after structural relaxation (PBE-GGA, Alexandria).

Output
SG: No. 12

a b c (Å): 5.6777 7.1960 7.7859
angles (deg): 76.60 68.62 66.77
Closest atoms and distances in Å follow each position.
Element x y z (fractional)
Ho 0.1766 0.7234 0.9233  6 Se 2.76-2.94
Ho 0.8234 0.2766 0.0767  6 Se 2.76-2.94
Th 0.0000 0.5000 0.5000  8 Se 2.94-3.09
Se 0.7325 0.6655 0.8694  3 Ho 2.84-2.90, 1 Th 3.00
Se 0.2675 0.3345 0.1306  3 Ho 2.84-2.90, 1 Th 3.00
Se 0.9276 0.8854 0.2593  2 Ho 2.76-2.78, 1 Th 2.94
Se 0.3979 0.6802 0.5239  1 Se 2.44
Se 0.0724 0.1146 0.7407  2 Ho 2.76-2.78, 1 Th 2.94
Se 0.6021 0.3198 0.4761  1 Se 2.44

9.
# Ho2ThSe

Ho2ThSe after structural relaxation (PBE-GGA, Alexandria).

Output
ΔE to the lowest computed polymorph, meV/atom: 110
SG: No. 123

a b c (Å): 3.5967 3.5967 8.4273
angles (deg): 90.00 90.00 90.00
Closest atoms and distances in Å follow each position.
Element x y z (fractional)
Se 0.5000 0.5000 0.0000  8 Ho 3.10
Ho 0.0000 0.0000 0.7887  4 Se 3.10
Ho 0.0000 0.0000 0.2113  4 Se 3.10
Th 0.5000 0.5000 0.5000  8 Ho 3.52, 4 Th 3.60

10.
# Ho3Th4Se8

Ho3Th4Se8 after structural relaxation (PBE-GGA, Alexandria).

Output
SG: No. 166

a b c (Å): 7.8145 7.8145 9.2567
angles (deg): 65.03 65.03 60.00
Closest atoms and distances in Å follow each position.
Element x y z (fractional)
Ho 0.5000 0.0000 0.5000  6 Se 2.77-2.91
Ho 0.0000 0.0000 0.5000  6 Se 2.77-2.91
Ho 0.0000 0.5000 0.5000  6 Se 2.77-2.91
Th 0.0000 0.0000 0.0000  6 Se 3.08
Th 0.3488 0.3488 0.9536  4 Se 2.82-2.93
Th 0.5000 0.5000 0.5000  6 Se 2.99
Th 0.6512 0.6512 0.0464  4 Se 2.82-2.93
Se 0.2327 0.2327 0.3019  3 Ho 2.77, 1 Th 2.82
Se 0.2345 0.7491 0.2673  2 Ho 2.91, 3 Th 2.93-3.08
Se 0.7491 0.7491 0.2673  2 Ho 2.91, 3 Th 2.93-3.08
Se 0.7491 0.2345 0.2673  2 Ho 2.91, 3 Th 2.93-3.08
Se 0.7673 0.7673 0.6981  3 Ho 2.77, 1 Th 2.82
Se 0.7655 0.2509 0.7327  2 Ho 2.91, 3 Th 2.93-3.08
Se 0.2509 0.2509 0.7327  2 Ho 2.91, 3 Th 2.93-3.08
Se 0.2509 0.7655 0.7327  2 Ho 2.91, 3 Th 2.93-3.08

| no. | total energy (Ry/atom) | uncorrected formation energy (eV/atom) |
| --- | --- | --- |
| 1 | -0.4618 | -1.68 |
| 2 | -0.4715 | -1.64 |
| 3 | -0.4906 | -1.58 |
| 4 | -0.4279 | -0.81 |
| 5 | -0.4536 | -1.77 |
| 6 | -0.4399 | -1.67 |
| 7 | -0.4448 | -1.67 |
| 8 | -0.4204 | -1.55 |
| 9 | -0.4198 | -0.70 |
| 10 | -0.4494 | -1.36 |